First-principles (PBE) data for Pm2SiS after structural relaxation, as listed in OQMD via LeMat-Bulk.

```
data_Pm2SiS
_cell_length_a 4.139
_cell_length_b 4.139
_cell_length_c 5.847
_cell_angle_alpha 90.00
_cell_angle_beta 90.00
_cell_angle_gamma 90.00
_symmetry_space_group_name_H-M 'P 4/m m m'
_symmetry_Int_Tables_number 123
_symmetry_space_group_name_Hall '-P 4 2'
loop_
_atom_site_label
_atom_site_fract_x
_atom_site_fract_y
_atom_site_fract_z
Pm1 0.000 0.000 0.000
Pm2 0.500 0.500 0.500
Si1 0.000 0.000 0.500
S1 0.500 0.500 0.000
```

***

First-principles (PBE) data for PmSmS3 after structural relaxation, as listed in OQMD via LeMat-Bulk.

```
data_PmSmS3
_cell_length_a 4.4721
_cell_length_b 4.4721
_cell_length_c 7.2115
_cell_angle_alpha 90.00
_cell_angle_beta 90.00
_cell_angle_gamma 120.00
_symmetry_space_group_name_H-M 'P 3 m 1'
_symmetry_Int_Tables_number 156
_symmetry_space_group_name_Hall 'P 3 -2"'
loop_
_atom_site_label
_atom_site_fract_x
_atom_site_fract_y
_atom_site_fract_z
Pm1 0.0000 0.0000 0.0000
Sm1 0.3333 0.6667 0.4784
S1 0.0000 0.0000 0.5959
S2 0.3333 0.6667 0.8782
S3 0.6667 0.3333 0.2393
```

***

First-principles (PBE) data for PmSmS2 after structural relaxation, as listed in OQMD via LeMat-Bulk.

```
data_PmSmS2
_cell_length_a 4.015
_cell_length_b 4.015
_cell_length_c 5.681
_cell_angle_alpha 90.00
_cell_angle_beta 90.00
_cell_angle_gamma 90.00
_symmetry_space_group_name_H-M 'P 4/m m m'
_symmetry_Int_Tables_number 123
_symmetry_space_group_name_Hall '-P 4 2'
loop_
_atom_site_label
_atom_site_fract_x
_atom_site_fract_y
_atom_site_fract_z
Pm1 0.000 0.000 0.000
Sm1 0.500 0.500 0.500
S1 0.000 0.000 0.500
S2 0.500 0.500 0.000
```

***

First-principles (PBE) data for PmSm3S5 after structural relaxation, as listed in OQMD via LeMat-Bulk.

```
data_PmSm3S5
_cell_length_a 8.3674
_cell_length_b 8.3674
_cell_length_c 3.6615
_cell_angle_alpha 90.00
_cell_angle_beta 90.00
_cell_angle_gamma 120.00
_symmetry_space_group_name_H-M 'P -6 2 m'
_symmetry_Int_Tables_number 189
_symmetry_space_group_name_Hall 'P -6 -2'
loop_
_atom_site_label
_atom_site_fract_x
_atom_site_fract_y
_atom_site_fract_z
Pm1 0.0000 0.0000 0.0000
Sm1 0.0000 0.4789 0.0000
S1 0.0000 0.2420 0.5000
S2 0.3333 0.6667 0.5000
```

***

First-principles (PBE) data for SrPmS2 after structural relaxation, as listed in OQMD via LeMat-Bulk.

```
data_SrPmS2
_cell_length_a 4.129
_cell_length_b 4.129
_cell_length_c 5.839
_cell_angle_alpha 90.00
_cell_angle_beta 90.00
_cell_angle_gamma 90.00
_symmetry_space_group_name_H-M 'P 4/m m m'
_symmetry_Int_Tables_number 123
_symmetry_space_group_name_Hall '-P 4 2'
loop_
_atom_site_label
_atom_site_fract_x
_atom_site_fract_y
_atom_site_fract_z
Sr1 0.000 0.000 0.000
Pm1 0.500 0.500 0.500
S1 0.000 0.000 0.500
S2 0.500 0.500 0.000
```

***

First-principles (PBE) data for TbPmS2 after structural relaxation, as listed in OQMD via LeMat-Bulk.

```
data_TbPmS2
_cell_length_a 6.868
_cell_length_b 3.978
_cell_length_c 6.901
_cell_angle_alpha 90.00
_cell_angle_beta 109.49
_cell_angle_gamma 90.00
_symmetry_space_group_name_H-M 'C 1 2/m 1'
_symmetry_Int_Tables_number 12
_symmetry_space_group_name_Hall '-C 2y'
loop_
_atom_site_label
_atom_site_fract_x
_atom_site_fract_y
_atom_site_fract_z
Tb1 0.000 0.000 0.000
Pm1 0.000 0.500 0.500
S1 0.247 0.500 0.240
```

***

First-principles (PBE) data for TbPmS2 after structural relaxation, as listed in OQMD via LeMat-Bulk.

```
data_TbPmS2
_cell_length_a 3.978
_cell_length_b 3.978
_cell_length_c 5.627
_cell_angle_alpha 90.00
_cell_angle_beta 90.00
_cell_angle_gamma 90.00
_symmetry_space_group_name_H-M 'P 4/m m m'
_symmetry_Int_Tables_number 123
_symmetry_space_group_name_Hall '-P 4 2'
loop_
_atom_site_label
_atom_site_fract_x
_atom_site_fract_y
_atom_site_fract_z
Tb1 0.000 0.000 0.000
Pm1 0.500 0.500 0.500
S1 0.000 0.000 0.500
S2 0.500 0.500 0.000
```

***

First-principles (PBE) data for PmTcS after structural relaxation, as listed in OQMD via LeMat-Bulk.

```
data_PmTcS
_cell_length_a 6.319
_cell_length_b 6.319
_cell_length_c 6.319
_cell_angle_alpha 90.00
_cell_angle_beta 90.00
_cell_angle_gamma 90.00
_symmetry_space_group_name_H-M 'F -4 3 m'
_symmetry_Int_Tables_number 216
_symmetry_space_group_name_Hall 'F -4 2 3'
loop_
_atom_site_label
_atom_site_fract_x
_atom_site_fract_y
_atom_site_fract_z
Pm1 0.000 0.000 0.000
Tc1 0.000 0.000 0.500
S1 0.250 0.250 0.750
```

***

First-principles (PBE) data for Pm3TcS after structural relaxation, as listed in OQMD via LeMat-Bulk.

```
data_Pm3TcS
_cell_length_a 5.279
_cell_length_b 5.279
_cell_length_c 5.279
_cell_angle_alpha 90.00
_cell_angle_beta 90.00
_cell_angle_gamma 90.00
_symmetry_space_group_name_H-M 'P m -3 m'
_symmetry_Int_Tables_number 221
_symmetry_space_group_name_Hall '-P 4 2 3'
loop_
_atom_site_label
_atom_site_fract_x
_atom_site_fract_y
_atom_site_fract_z
Pm1 0.000 0.000 0.500
Tc1 0.500 0.500 0.500
S1 0.000 0.000 0.000
```

***

First-principles (PBE) data for PmTlS2 after structural relaxation, as listed in OQMD via LeMat-Bulk.

```
data_PmTlS2
_cell_length_a 4.1469
_cell_length_b 4.1469
_cell_length_c 22.4892
_cell_angle_alpha 90.00
_cell_angle_beta 90.00
_cell_angle_gamma 120.00
_symmetry_space_group_name_H-M 'R -3 m'
_symmetry_Int_Tables_number 166
_symmetry_space_group_name_Hall '-R 3 2"'
loop_
_atom_site_label
_atom_site_fract_x
_atom_site_fract_y
_atom_site_fract_z
Pm1 0.0000 0.0000 0.0000
Tl1 0.0000 0.0000 0.5000
S1 0.0000 0.0000 0.2657
```

***

First-principles (PBE) data for PmW3S after structural relaxation, as listed in OQMD via LeMat-Bulk.

```
data_PmW3S
_cell_length_a 4.567
_cell_length_b 4.567
_cell_length_c 4.567
_cell_angle_alpha 90.00
_cell_angle_beta 90.00
_cell_angle_gamma 90.00
_symmetry_space_group_name_H-M 'P m -3 m'
_symmetry_Int_Tables_number 221
_symmetry_space_group_name_Hall '-P 4 2 3'
loop_
_atom_site_label
_atom_site_fract_x
_atom_site_fract_y
_atom_site_fract_z
Pm1 0.000 0.000 0.000
W1 0.000 0.500 0.500
S1 0.500 0.500 0.500
```

***

First-principles (PBE) data for Pm6YS8 after structural relaxation, as listed in OQMD via LeMat-Bulk.

```
data_Pm6YS8
_cell_length_a 11.355
_cell_length_b 11.355
_cell_length_c 11.355
_cell_angle_alpha 90.00
_cell_angle_beta 90.00
_cell_angle_gamma 90.00
_symmetry_space_group_name_H-M 'F m -3 m'
_symmetry_Int_Tables_number 225
_symmetry_space_group_name_Hall '-F 4 2 3'
loop_
_atom_site_label
_atom_site_fract_x
_atom_site_fract_y
_atom_site_fract_z
Pm1 0.000 0.250 0.250
Y1 0.000 0.000 0.000
S1 0.000 0.000 0.245
S2 0.250 0.250 0.250
```

***

no.,raw total energy (eV/atom)
1,-6.163
2,-6.356
3,-6.460
4,-6.083
5,-5.709
6,-6.433
7,-6.421
8,-6.624
9,-5.847
10,-5.308
11,-8.904
12,-6.602